(1)
ZrCoCl4 | SCAN | PBEsol geometry

Formation energy without anion corrections = 0.56 eV per atom
M_tot = 0.50 μB/atom
Calculated volume = 19.30 A^3/atom

Cell: 5.471 5.471 5.471 Å, 60.00 60.00 60.00°
Positions (direct):
Zr  0.000  0.000  0.000
Co  0.250  0.250  0.250
Cl  0.125  0.625  0.625
Cl  0.625  0.125  0.625
Cl  0.625  0.625  0.125
Cl  0.625  0.625  0.625

---

(2)
CrCl | SCAN | PBEsol geometry

Formation energy without anion corrections = 0.07 eV per atom
M_tot = 0.00 μB/atom
Calculated volume = 16.99 A^3/atom

Cell: 2.999 2.999 8.685 Å, 90.00 90.00 119.57°
Positions (direct):
Cr  0.250  0.750  0.910
Cr  0.750  0.250  0.090
Cl  0.250  0.750  0.300
Cl  0.750  0.250  0.700

---

(3)
CrCl | SCAN | PBEsol geometry

Formation energy without anion corrections = 0.04 eV per atom
M_tot = 2.50 μB/atom
Calculated volume = 19.33 A^3/atom

Cell: 4.782 4.782 4.782 Å, 60.00 60.00 60.00°
Positions (direct):
Cr  0.125  0.125  0.125
Cr  0.875  0.875  0.875
Cl  0.375  0.375  0.375
Cl  0.625  0.625  0.625

---

(4)
Cr3Cl | SCAN | PBEsol geometry

Energy relative to the lowest polymorph listed for this composition = 0.431 eV per atom
Formation energy without anion corrections = 0.66 eV per atom
M_tot = 0.28 μB/atom
Calculated volume = 11.52 A^3/atom

Cell: 4.102 4.102 2.740 Å, 90.00 90.00 90.00°
Positions (direct):
Cr  0.000  0.000  0.000
Cr  0.000  0.500  0.500
Cr  0.500  0.000  0.500
Cl  0.500  0.500  0.000